Computed, not measured: crystalline PmPr2Tm3Se6 at its relaxed geometry at the PBE-GGA level of DFT.

a = 9.3331 Å, b = 9.3331 Å, c = 8.4410 Å
α = 105.75°, β = 105.75°, γ = 25.07°
Element x y z (fractional)
Pm1 0.0000 0.0000 0.0000
Pr1 0.3331 0.3331 0.6666
Pr2 0.6669 0.6669 0.3334
Tm1 0.0000 0.0000 0.5000
Tm2 0.3323 0.3323 0.1666
Tm3 0.6677 0.6677 0.8334
Se1 0.1614 0.1614 0.5961
Se2 0.1701 0.1701 0.0689
Se3 0.4945 0.4945 0.2595
Se4 0.5055 0.5055 0.7405
Se5 0.8299 0.8299 0.9311
Se6 0.8386 0.8386 0.4039

Calculated values
Its calculated density is 7.8 Mg/m³. As for the formation energy from raw total energies: -1.76 eV per atom.


Computed, not measured: crystalline Pm4PrTm3Se8 at its relaxed geometry at the PBE-GGA level of DFT.

a = 8.3358 Å, b = 8.3358 Å, c = 8.3358 Å
α = 59.18°, β = 59.18°, γ = 59.18°
Element x y z (fractional)
Pm1 0.0000 0.0000 0.0000
Pm2 0.0000 0.5000 0.5000
Pm3 0.5000 0.0000 0.5000
Pm4 0.5000 0.5000 0.0000
Pr1 0.5000 0.5000 0.5000
Tm1 0.0000 0.0000 0.5000
Tm2 0.0000 0.5000 0.0000
Tm3 0.5000 0.0000 0.0000
Se1 0.2358 0.7518 0.7518
Se2 0.2441 0.2441 0.2441
Se3 0.2482 0.2482 0.7642
Se4 0.2482 0.7642 0.2482
Se5 0.7518 0.2358 0.7518
Se6 0.7518 0.7518 0.2358
Se7 0.7559 0.7559 0.7559
Se8 0.7642 0.2482 0.2482

Calculated values
Its calculated density is 7.7 Mg/m³. As for the formation energy from raw total energies: -1.76 eV per atom.


Computed, not measured: crystalline PmPr4Y3Se8 at its relaxed geometry at the PBE-GGA level of DFT.

a = 8.4559 Å, b = 8.4559 Å, c = 8.4559 Å
α = 58.89°, β = 58.89°, γ = 58.89°
Element x y z (fractional)
Pm1 0.0000 0.0000 0.0000
Pr1 0.0000 0.0000 0.5000
Pr2 0.0000 0.5000 0.0000
Pr3 0.5000 0.0000 0.0000
Pr4 0.5000 0.5000 0.5000
Y1 0.0000 0.5000 0.5000
Y2 0.5000 0.0000 0.5000
Y3 0.5000 0.5000 0.0000
Se1 0.2479 0.2479 0.7405
Se2 0.2479 0.7405 0.2479
Se3 0.2557 0.2557 0.2557
Se4 0.2595 0.7521 0.7521
Se5 0.7405 0.2479 0.2479
Se6 0.7443 0.7443 0.7443
Se7 0.7521 0.2595 0.7521
Se8 0.7521 0.7521 0.2595

Calculated values
Its calculated density is 6.4 Mg/m³. As for the formation energy from raw total energies: -1.81 eV per atom.


Computed, not measured: crystalline Pm4Pr3YSe8 at its relaxed geometry at the PBE-GGA level of DFT.

a = 8.4218 Å, b = 8.4218 Å, c = 8.4069 Å
α = 119.88°, β = 119.88°, γ = 60.05°
Element x y z (fractional)
Pm1 0.0000 0.0000 0.0000
Pm2 0.0000 0.5000 0.5000
Pm3 0.5000 0.0000 0.5000
Pm4 0.5000 0.5000 0.0000
Pr1 0.0000 0.0000 0.5000
Pr2 0.0000 0.5000 0.0000
Pr3 0.5000 0.0000 0.0000
Y1 0.5000 0.5000 0.5000
Se1 0.2523 0.2523 0.7482
Se2 0.2537 0.2537 0.2577
Se3 0.2537 0.7420 0.7460
Se4 0.2580 0.7463 0.2540
Se5 0.7420 0.2537 0.7460
Se6 0.7463 0.2580 0.2540
Se7 0.7463 0.7463 0.7423
Se8 0.7477 0.7477 0.2518

Calculated values
Its calculated density is 6.8 Mg/m³. As for the formation energy from raw total energies: -1.82 eV per atom.


Computed, not measured: crystalline Pm4PrYSe8 at its relaxed geometry at the PBE-GGA level of DFT.

a = 8.6404 Å, b = 8.6404 Å, c = 8.6404 Å
α = 59.87°, β = 59.87°, γ = 59.87°
Element x y z (fractional)
Pm1 0.0000 0.0000 0.0000
Pm2 0.1288 0.6244 0.6244
Pm3 0.6244 0.1288 0.6244
Pm4 0.6244 0.6244 0.1288
Pr1 0.6242 0.6242 0.6242
Y1 0.2509 0.2509 0.2509
Se1 0.3776 0.3776 0.8622
Se2 0.3776 0.8622 0.3776
Se3 0.3808 0.3808 0.3808
Se4 0.3979 0.8700 0.8700
Se5 0.8622 0.3776 0.3776
Se6 0.8671 0.8671 0.8671
Se7 0.8700 0.3979 0.8700
Se8 0.8700 0.8700 0.3979

Calculated values
Its calculated density is 5.3 Mg/m³. As for the formation energy from raw total energies: -1.73 eV per atom.


Computed, not measured: crystalline Pm3Pr3YSe8 at its relaxed geometry at the PBE-GGA level of DFT.

a = 8.4374 Å, b = 8.4374 Å, c = 8.4374 Å
α = 59.76°, β = 59.76°, γ = 59.76°
Element x y z (fractional)
Pm1 0.0000 0.5000 0.5000
Pm2 0.5000 0.0000 0.5000
Pm3 0.5000 0.5000 0.0000
Pr1 0.0000 0.0000 0.5000
Pr2 0.0000 0.5000 0.0000
Pr3 0.5000 0.0000 0.0000
Y1 0.0000 0.0000 0.0000
Se1 0.2463 0.2463 0.7499
Se2 0.2463 0.7499 0.2463
Se3 0.2501 0.7537 0.7537
Se4 0.2519 0.2519 0.2519
Se5 0.7481 0.7481 0.7481
Se6 0.7499 0.2463 0.2463
Se7 0.7537 0.2501 0.7537
Se8 0.7537 0.7537 0.2501

Calculated values
Its calculated density is 6.2 Mg/m³. As for the formation energy from raw total energies: -1.88 eV per atom.


Computed, not measured: crystalline PmPr2YSe4 at its relaxed geometry at the PBE-GGA level of DFT.

a = 7.2681 Å, b = 4.1432 Å, c = 7.3725 Å
α = 90.00°, β = 108.75°, γ = 90.00°
Element x y z (fractional)
Pm1 0.0000 0.0000 0.0000
Pr1 0.0000 0.5000 0.5000
Pr2 0.5000 0.0000 0.5000
Y1 0.5000 0.5000 0.0000
Se1 0.2515 0.5000 0.2403
Se2 0.2592 0.0000 0.7631
Se3 0.7408 0.0000 0.2369
Se4 0.7485 0.5000 0.7597

Calculated values
Its calculated density is 6.6 Mg/m³. As for the formation energy from raw total energies: -1.82 eV per atom.


Computed, not measured: crystalline Pm2Pr3YSe6 at its relaxed geometry at the PBE-GGA level of DFT.

a = 7.2866 Å, b = 7.2866 Å, c = 7.3301 Å
α = 99.51°, β = 99.51°, γ = 120.24°
Element x y z (fractional)
Pm1 0.1670 0.8330 0.0000
Pm2 0.8330 0.1670 0.0000
Pr1 0.0000 0.0000 0.5000
Pr2 0.3293 0.6707 0.5000
Pr3 0.6707 0.3293 0.5000
Y1 0.5000 0.5000 0.0000
Se1 0.0936 0.4203 0.7606
Se2 0.2542 0.2542 0.2429
Se3 0.4203 0.0936 0.7606
Se4 0.5797 0.9064 0.2394
Se5 0.7458 0.7458 0.7571
Se6 0.9064 0.5797 0.2394

Calculated values
Its calculated density is 6.7 Mg/m³. As for the formation energy from raw total energies: -1.83 eV per atom.


no.,calculated total energy (eV/f.u.)
1,-69.8
2,-93.3
3,-100.1
4,-96.8
5,-82.4
6,-91.1
7,-49.3
8,-73.2